1.
# ScMn3Sb

A relaxed ScMn3Sb crystal (GGA-PBEsol, the Alexandria database).

Structure (POSCAR):
```
ScMn3Sb
1.0
4.790 0.000 0.000
0.000 4.790 0.000
0.000 0.000 4.790
Sc Sb Mn
1 1 3
Direct
0.500 0.500 0.500
0.000 0.000 0.000
0.000 0.500 0.000
0.000 0.000 0.500
0.500 0.000 0.000
```

Values from the calculation:
**Symmetry**: Pm-3m
**Excess energy over the best structure of this formula in the dataset**: 0 meV/atom
**Formation energy without anion corrections**: 95.7 kJ/mol of atoms

2.
# KRhAu

A relaxed KRhAu crystal (GGA-PBEsol, the Alexandria database).

Structure (POSCAR):
```
KRhAu
1.0
3.516 0.000 0.000
0.000 3.516 0.000
-1.758 -1.758 5.668
Au K Rh
1 1 1
Direct
0.053 0.053 0.105
0.335 0.335 0.671
0.612 0.612 0.224
```

Values from the calculation:
**ΔE_f**: 365 meV/atom
**Symmetry**: I4mm

3.
# KPbSe2Br

A relaxed KPbSe2Br crystal (GGA-PBEsol, the Alexandria database).

Structure (POSCAR):
```
KPbSe2Br
1.0
-3.075 -4.345 1.852
4.112 -1.583 3.114
-1.880 3.050 4.034
Pb K Se Br
1 1 2 1
Direct
0.500 0.500 0.500
0.000 0.000 0.000
0.000 0.000 0.500
0.000 0.500 0.000
0.500 0.000 0.000
```

Values from the calculation:
**Symmetry**: P4/mmm
**Excess energy over the best structure of this formula in the dataset**: 764 meV/atom
**Formation energy without anion corrections**: 29.2 kJ/mol of atoms

no.,M_tot (μB/f.u.)
1,9.25
2,0.00
3,0.00